1.
VASP calculation (meta-GGA SCAN) on a PBEsol-optimized structure of NbTlBi3.

Cell lengths 5.482, 5.482, 5.482 Å; angles 90.00, 90.00, 90.00 degrees
Positions (direct):
Tl 0.500 0.500 0.500
Bi 0.000 0.500 0.000
Bi 0.000 0.000 0.500
Bi 0.500 0.000 0.000
Nb 0.000 0.000 0.000

=====

2.
VASP calculation (meta-GGA SCAN) on a PBEsol-optimized structure of Al3SnIr.

Cell lengths 4.941, 4.941, 4.941 Å; angles 90.00, 90.00, 90.00 degrees
Positions (direct):
Ir 0.500 0.500 0.500
Sn 0.000 0.000 0.000
Al 0.000 0.500 0.000
Al 0.000 0.000 0.500
Al 0.500 0.000 0.000

=====

3.
VASP calculation (meta-GGA SCAN) on a PBEsol-optimized structure of Y2SeBr.

Cell lengths 4.120, 4.124, 6.961 Å; angles 107.22, 90.00, 119.97 degrees
Positions (direct):
Br 0.000 0.000 0.500
Se 0.500 0.000 0.000
Y 0.763 0.526 0.789
Y 0.237 0.474 0.211

The calculation puts the energy relative to the elements, uncorrected at -1478.9 meV/atom. The relative energy among the computed polymorphs comes out at 0.0 meV per atom.

=====

4.
VASP calculation (meta-GGA SCAN) on a PBEsol-optimized structure of La11V4O26.

Cell lengths 7.008, 10.082, 10.216 Å; angles 77.72, 71.76, 70.25 degrees
Each line ends with the local moment (μB).
Positions (direct):
La 0.172 0.638 0.661  0.00
La 0.281 0.984 0.405  0.00
La 0.828 0.362 0.339  0.00
La 0.719 0.016 0.595  0.00
La 0.122 0.972 0.807  0.00
La 0.878 0.028 0.193  0.00
La 0.021 0.330 0.953  0.00
La 0.979 0.670 0.047  0.00
La 0.585 0.655 0.841  0.00
La 0.415 0.345 0.159  0.00
La 0.500 0.000 0.000  0.00
V 0.598 0.318 0.809  0.48
V 0.402 0.682 0.191  0.48
V 0.719 0.727 0.457  0.01
V 0.281 0.273 0.543  0.01
O 0.861 0.630 0.323  0.00
O 0.139 0.370 0.677  0.00
O 0.396 0.263 0.939  0.00
O 0.604 0.737 0.061  0.00
O 0.326 0.608 0.082  0.00
O 0.674 0.392 0.918  0.00
O 0.180 0.316 0.400  0.00
O 0.820 0.684 0.600  0.00
O 0.233 0.846 0.248  -0.01
O 0.767 0.154 0.752  -0.01
O 0.536 0.272 0.502  0.00
O 0.464 0.728 0.498  0.00
O 0.770 0.272 0.167  0.00
O 0.230 0.728 0.833  0.00
O 0.513 0.467 0.700  -0.02
O 0.138 0.080 0.991  0.00
O 0.862 0.920 0.009  0.00
O 0.308 0.093 0.593  0.00
O 0.692 0.907 0.407  0.00
O 0.050 0.893 0.615  0.00
O 0.487 0.533 0.300  -0.02
O 0.059 0.420 0.133  0.00
O 0.941 0.580 0.867  0.00
O 0.512 0.907 0.799  0.00
O 0.488 0.093 0.201  0.00
O 0.950 0.107 0.385  0.00

The calculation puts the energy relative to the elements, uncorrected at -3508.4 meV/atom.

=====

5.
VASP calculation (meta-GGA SCAN) on a PBEsol-optimized structure of Sc4Tl.

Cell lengths 4.433, 5.504, 5.504 Å; angles 80.66, 66.25, 66.25 degrees
Positions (direct):
Sc 0.610 0.197 0.583
Sc 0.807 0.583 0.803
Sc 0.390 0.803 0.417
Sc 0.193 0.417 0.197
Tl 0.000 0.000 0.000

The relative energy among the computed polymorphs comes out at 0.0 meV per atom.

=====

6.
VASP calculation (meta-GGA SCAN) on a PBEsol-optimized structure of MnFeSe2N.

Cell lengths 3.375, 4.841, 4.841 Å; angles 90.00, 90.00, 90.00 degrees
Each line ends with the local moment (μB).
Positions (direct):
Mn 0.000 0.000 0.000  2.47
Fe 0.500 0.500 0.500  3.50
Se 0.000 0.000 0.500  -0.01
Se 0.000 0.500 0.000  -0.01
N 0.500 0.000 0.000  -0.38

The calculation puts the energy relative to the elements, uncorrected at 287.7 meV/atom.

=====

Per-record total DFT energy (no corrections), eV/atom: -67.922 -24.432 -25.285 -20.731 -26.051 -16.879
Per-record spin magnetization, μB per cell: 0.00 0.00 0.00 1.00 0.01 5.70